Computed, not measured: a relaxed structure of Pr7Tl2Ag2 at the PBE level of DFT.

a = 7.1259 Å, b = 7.1259 Å, c = 7.7120 Å
α = 90.00°, β = 90.00°, γ = 108.45°
Last column: nearest neighbours and their distance in Å.
Element x y z (fractional)
Pr 0.0000 0.0000 0.0000  2 Ag 3.31
Pr 0.0000 0.5000 0.2756  2 Ag 3.01
Pr 0.0000 0.5000 0.7244  2 Ag 3.01
Pr 0.5000 0.0000 0.2756  2 Ag 3.01
Pr 0.5000 0.0000 0.7244  2 Ag 3.01
Pr 0.5000 0.5000 0.2528  2 Ag 3.15, 2 Tl 3.30
Pr 0.5000 0.5000 0.7472  2 Ag 3.15, 2 Tl 3.30
Tl 0.1763 0.1763 0.5000  1 Tl 2.94
Tl 0.8237 0.8237 0.5000  1 Tl 2.94
Ag 0.2860 0.7140 0.0000  7 Pr 3.01-3.31
Ag 0.7140 0.2860 0.0000  7 Pr 3.01-3.31

Values from the calculation:
* ΔE_f: 0.004 eV per atom
* DFT total energy: -3.9862 eV per atom